1.
Material: Fe2Pd3
Method: DFT, PBE-GGA
State: optimized geometry

Cell lengths 5.587, 5.587, 5.587 Å; angles 72.41, 72.41, 72.41 degrees
Positions (direct):
Fe  0.094  0.094  0.094
Fe  0.406  0.406  0.406
Fe  0.594  0.594  0.594
Fe  0.906  0.906  0.906
Pd  0.010  0.750  0.490
Pd  0.250  0.510  0.990
Pd  0.490  0.010  0.750
Pd  0.510  0.990  0.250
Pd  0.750  0.490  0.010
Pd  0.990  0.250  0.510

Results
VASP energy: -6.25 eV per atom
ΔH_f (0 K): 17 kJ per mole of atoms
Total moment: 14.13 μB per cell

=====

2.
Material: Fe2Pd
Method: DFT, PBE-GGA
State: optimized geometry

Cell lengths 4.826, 4.826, 4.826 Å; angles 106.05, 106.05, 116.54 degrees
Positions (direct):
Fe  0.140  0.640  0.781
Fe  0.360  0.140  0.500
Fe  0.640  0.860  0.500
Fe  0.860  0.360  0.219
Pd  0.250  0.250  0.000
Pd  0.750  0.750  0.000

Results
VASP energy: -6.96 eV per atom
ΔH_f (0 K): 29 kJ per mole of atoms
Total moment: 11.99 μB per cell

=====

3.
Material: Fe7Pd44
Method: DFT, PBE-GGA
State: optimized geometry

Cell lengths 13.025, 13.025, 13.025 Å; angles 60.00, 60.00, 60.00 degrees
Positions (direct):
Fe  0.010  0.330  0.330
Fe  0.164  0.164  0.836
Fe  0.164  0.836  0.164
Fe  0.164  0.836  0.836
Fe  0.199  0.600  0.600
Fe  0.330  0.010  0.330
Fe  0.330  0.330  0.010
Fe  0.330  0.330  0.330
Fe  0.600  0.199  0.600
Fe  0.600  0.600  0.199
Fe  0.600  0.600  0.600
Fe  0.836  0.164  0.164
Fe  0.836  0.164  0.836
Fe  0.836  0.836  0.164
Pd  0.012  0.589  0.589
Pd  0.012  0.589  0.809
Pd  0.012  0.809  0.589
Pd  0.060  0.060  0.440
Pd  0.060  0.440  0.060
Pd  0.060  0.440  0.440
Pd  0.087  0.087  0.087
Pd  0.087  0.087  0.738
Pd  0.087  0.738  0.087
Pd  0.155  0.384  0.731
Pd  0.155  0.731  0.384
Pd  0.155  0.731  0.731
Pd  0.164  0.945  0.945
Pd  0.195  0.195  0.195
Pd  0.195  0.195  0.416
Pd  0.195  0.416  0.195
Pd  0.231  0.231  0.585
Pd  0.231  0.231  0.952
Pd  0.231  0.585  0.231
Pd  0.231  0.585  0.952
Pd  0.231  0.952  0.231
Pd  0.231  0.952  0.585
Pd  0.249  0.466  0.466
Pd  0.249  0.466  0.819
Pd  0.249  0.819  0.466
Pd  0.353  0.718  0.964
Pd  0.353  0.964  0.718
Pd  0.353  0.964  0.964
Pd  0.384  0.155  0.731
Pd  0.384  0.731  0.155
Pd  0.384  0.731  0.731
Pd  0.394  0.394  0.606
Pd  0.394  0.606  0.394
Pd  0.394  0.606  0.606
Pd  0.416  0.195  0.195
Pd  0.440  0.060  0.060
Pd  0.440  0.060  0.440
Pd  0.440  0.440  0.060
Pd  0.466  0.249  0.466
Pd  0.466  0.249  0.819
Pd  0.466  0.466  0.249
Pd  0.466  0.466  0.819
Pd  0.466  0.819  0.249
Pd  0.466  0.819  0.466
Pd  0.576  0.808  0.808
Pd  0.585  0.231  0.231
Pd  0.585  0.231  0.952
Pd  0.585  0.952  0.231
Pd  0.589  0.012  0.589
Pd  0.589  0.012  0.809
Pd  0.589  0.589  0.012
Pd  0.589  0.589  0.809
Pd  0.589  0.809  0.012
Pd  0.589  0.809  0.589
Pd  0.606  0.394  0.394
Pd  0.606  0.394  0.606
Pd  0.606  0.606  0.394
Pd  0.718  0.353  0.964
Pd  0.718  0.964  0.353
Pd  0.718  0.964  0.964
Pd  0.731  0.155  0.384
Pd  0.731  0.155  0.731
Pd  0.731  0.384  0.155
Pd  0.731  0.384  0.731
Pd  0.731  0.731  0.155
Pd  0.731  0.731  0.384
Pd  0.738  0.087  0.087
Pd  0.808  0.576  0.808
Pd  0.808  0.808  0.576
Pd  0.808  0.808  0.808
Pd  0.809  0.012  0.589
Pd  0.809  0.589  0.012
Pd  0.809  0.589  0.589
Pd  0.819  0.249  0.466
Pd  0.819  0.466  0.249
Pd  0.819  0.466  0.466
Pd  0.945  0.164  0.945
Pd  0.945  0.945  0.164
Pd  0.945  0.945  0.945
Pd  0.952  0.231  0.231
Pd  0.952  0.231  0.585
Pd  0.952  0.585  0.231
Pd  0.964  0.353  0.718
Pd  0.964  0.353  0.964
Pd  0.964  0.718  0.353
Pd  0.964  0.718  0.964
Pd  0.964  0.964  0.353
Pd  0.964  0.964  0.718

Results
VASP energy: -5.61 eV per atom
ΔH_f (0 K): 0 kJ per mole of atoms
Total moment: 74.58 μB per cell

=====

4.
Material: Fe30Pd23
Method: DFT, PBE-GGA
State: optimized geometry

Cell lengths 9.176, 9.176, 9.176 Å; angles 76.41, 76.41, 76.41 degrees
Positions (direct):
Fe  0.065  0.314  0.220
Fe  0.078  0.239  0.491
Fe  0.090  0.162  0.756
Fe  0.148  0.833  0.327
Fe  0.162  0.756  0.090
Fe  0.167  0.673  0.852
Fe  0.220  0.065  0.314
Fe  0.239  0.491  0.078
Fe  0.244  0.910  0.838
Fe  0.263  0.342  0.604
Fe  0.314  0.220  0.065
Fe  0.327  0.148  0.833
Fe  0.342  0.604  0.263
Fe  0.396  0.737  0.658
Fe  0.491  0.078  0.239
Fe  0.509  0.922  0.761
Fe  0.604  0.263  0.342
Fe  0.658  0.396  0.737
Fe  0.673  0.852  0.167
Fe  0.686  0.780  0.935
Fe  0.737  0.658  0.396
Fe  0.756  0.090  0.162
Fe  0.761  0.509  0.922
Fe  0.780  0.935  0.686
Fe  0.833  0.327  0.148
Fe  0.838  0.244  0.910
Fe  0.852  0.167  0.673
Fe  0.910  0.838  0.244
Fe  0.922  0.761  0.509
Fe  0.935  0.686  0.780
Pd  0.060  0.550  0.348
Pd  0.073  0.387  0.912
Pd  0.074  0.074  0.074
Pd  0.088  0.927  0.613
Pd  0.193  0.626  0.573
Pd  0.321  0.321  0.321
Pd  0.348  0.060  0.550
Pd  0.374  0.427  0.807
Pd  0.387  0.912  0.073
Pd  0.427  0.807  0.374
Pd  0.450  0.652  0.940
Pd  0.500  0.500  0.500
Pd  0.550  0.348  0.060
Pd  0.573  0.193  0.626
Pd  0.613  0.088  0.927
Pd  0.626  0.573  0.193
Pd  0.652  0.940  0.450
Pd  0.679  0.679  0.679
Pd  0.807  0.374  0.427
Pd  0.912  0.073  0.387
Pd  0.926  0.926  0.926
Pd  0.927  0.613  0.088
Pd  0.940  0.450  0.652

Results
VASP energy: -6.95 eV per atom
ΔH_f (0 K): 0 kJ per mole of atoms
Total moment: 89.67 μB per cell

=====

5.
Material: PmFePd
Method: DFT, PBE-GGA
State: optimized geometry

Cell lengths 4.630, 4.630, 4.630 Å; angles 60.00, 60.00, 60.00 degrees
Positions (direct):
Pm  0.000  0.000  0.000
Fe  0.750  0.750  0.750
Pd  0.250  0.250  0.250

Results
Energy above the most stable polymorph in this dataset: 0.511 eV per atom
VASP energy: -5.49 eV per atom
ΔH_f (0 K): 57 kJ per mole of atoms
Total moment: 2.74 μB per cell

=====

6.
Material: PmFePd
Method: DFT, PBE-GGA
State: optimized geometry

Cell lengths 4.535, 4.535, 4.535 Å; angles 60.00, 60.00, 60.00 degrees
Positions (direct):
Pm  0.000  0.000  0.000
Fe  0.500  0.500  0.500
Pd  0.750  0.750  0.750

Results
Energy above the most stable polymorph in this dataset: 0.000 eV per atom
VASP energy: -6.00 eV per atom
ΔH_f (0 K): 7 kJ per mole of atoms
Total moment: 2.70 μB per cell

=====

7.
Material: PrFePd
Method: DFT, PBE-GGA
State: optimized geometry

Cell lengths 4.658, 4.658, 4.658 Å; angles 60.00, 60.00, 60.00 degrees
Positions (direct):
Pr  0.000  0.000  0.000
Fe  0.500  0.500  0.500
Pd  0.750  0.750  0.750

Results
VASP energy: -5.99 eV per atom
ΔH_f (0 K): 10 kJ per mole of atoms
Total moment: 2.75 μB per cell

=====

8.
Material: PrFePd
Method: DFT, PBE-GGA
State: optimized geometry

Cell lengths 4.688, 4.688, 4.688 Å; angles 60.00, 60.00, 60.00 degrees
Positions (direct):
Pr  0.000  0.000  0.000
Fe  0.750  0.750  0.750
Pd  0.250  0.250  0.250

Results
VASP energy: -5.45 eV per atom
ΔH_f (0 K): 61 kJ per mole of atoms
Total moment: 2.91 μB per cell

=====

9.
Material: Pr2FeSi4Pd
Method: DFT, PBE-GGA
State: optimized geometry

Cell lengths 4.173, 8.617, 8.617 Å; angles 28.58, 90.00, 90.00 degrees
Positions (direct):
Pr  0.000  0.000  0.000
Pr  0.500  0.207  0.207
Fe  0.000  0.787  0.787
Si  0.000  0.344  0.344
Si  0.000  0.650  0.650
Si  0.500  0.569  0.569
Si  0.500  0.845  0.845
Pd  0.500  0.424  0.424

Results
VASP energy: -6.31 eV per atom
Total moment: 0.58 μB per cell

=====

10.
Material: FePdPt2
Method: DFT, PBE-GGA
State: optimized geometry

Cell lengths 4.407, 4.407, 4.407 Å; angles 60.00, 60.00, 60.00 degrees
Positions (direct):
Fe  0.000  0.000  0.000
Pd  0.750  0.750  0.750
Pt  0.250  0.250  0.250
Pt  0.500  0.500  0.500

Results
VASP energy: -6.42 eV per atom
ΔH_f (0 K): -2 kJ per mole of atoms
Total moment: 3.85 μB per cell

=====

11.
Material: Fe3Pd3Pt2
Method: DFT, PBE-GGA
State: optimized geometry

Cell lengths 5.456, 5.456, 3.864 Å; angles 90.00, 90.00, 92.70 degrees
Positions (direct):
Fe  0.000  0.000  0.000
Fe  0.252  0.748  0.500
Fe  0.748  0.252  0.500
Pd  0.237  0.237  0.500
Pd  0.500  0.500  0.000
Pd  0.763  0.763  0.500
Pt  0.000  0.500  0.000
Pt  0.500  0.000  0.000

Results
VASP energy: -6.72 eV per atom
ΔH_f (0 K): -15 kJ per mole of atoms
Total moment: 11.09 μB per cell

=====

12.
Material: Fe3PdPt4
Method: DFT, PBE-GGA
State: optimized geometry

Cell lengths 5.464, 5.464, 3.859 Å; angles 90.00, 90.00, 91.40 degrees
Positions (direct):
Fe  0.000  0.000  0.000
Fe  0.249  0.751  0.500
Fe  0.751  0.249  0.500
Pd  0.500  0.500  0.000
Pt  0.000  0.500  0.000
Pt  0.236  0.236  0.500
Pt  0.500  0.000  0.000
Pt  0.764  0.764  0.500

Results
VASP energy: -7.00 eV per atom
ΔH_f (0 K): -20 kJ per mole of atoms
Total moment: 10.99 μB per cell

=====

Question: Which formula does entry 1 have?
Answer: Fe2Pd3